Computed, not measured: a geometry-optimized B2W structure at the GGA-PBEsol level of DFT.

a b c (Å): 2.912 2.912 7.718
angles (deg): 90.00 90.00 120.00
Atoms (fractional coordinates):
W  0.667  0.333  0.750
B  0.667  0.333  0.459
B  0.333  0.667  0.959
B  0.333  0.667  0.541
W  0.333  0.667  0.250
B  0.667  0.333  0.041

Space group   P6_3/mmc, No. 194
Energy   -9.69 eV per atom
DOS at the Fermi energy   0.62 states/eV/cell